1.
{"formula": "TbY3Th4", "functional": "GGA-PBE", "state": "relaxed", "lattice_angstrom": [[0.3739, -2.3911, -2.4471], [4.4152, -7.2112, 7.7209], [-8.4429, 2.5101, -1.3224]], "species": ["Y", "Y", "Y", "Tb", "Th", "Th", "Th", "Th"], "frac_coords": [[0.0000, 0.5000, 0.0000], [0.2365, 0.2364, 0.4729], [0.7635, 0.7636, 0.5271], [0.5000, 0.0000, 0.0000], [0.3700, 0.6190, 0.7400], [0.6300, 0.3810, 0.2600], [0.6300, 0.8792, 0.2599], [0.3700, 0.1208, 0.7401]], "volume_a3_per_atom": 32.5, "e_form_mev_per_atom": 138.7}

2.
{"formula": "Tb6YTh", "functional": "GGA-PBE", "state": "relaxed", "lattice_angstrom": [[-0.5520, -4.3199, 2.5594], [4.9267, -0.9632, -0.5631], [1.9272, 4.8391, 8.5834]], "species": ["Tb", "Tb", "Tb", "Tb", "Tb", "Tb", "Y", "Th"], "frac_coords": [[0.5000, 0.5000, 0.0000], [0.5000, 0.5000, 0.5000], [0.5000, 0.0000, 0.2529], [0.5000, 0.0000, 0.7471], [0.0000, 0.5000, 0.2529], [0.0000, 0.5000, 0.7471], [0.0000, 0.0000, 0.0000], [0.0000, 0.0000, 0.5000]], "e_above_lowest_polymorph_ev_per_fu": 0.00, "volume_a3_per_atom": 32.0, "e_form_mev_per_atom": 31.7}

3.
{"formula": "Tb5Y12Th2", "functional": "GGA-PBE", "state": "relaxed", "lattice_angstrom": [[-1.0472, -8.5079, 4.0039], [10.1912, 5.8079, 3.8286], [-8.4036, 1.5835, 1.1668]], "species": ["Tb", "Tb", "Tb", "Tb", "Tb", "Y", "Y", "Y", "Y", "Y", "Y", "Y", "Y", "Y", "Y", "Y", "Y", "Th", "Th"], "frac_coords": [[0.3005, 0.6010, 0.6217], [0.2308, 0.4617, 0.8894], [0.0000, 0.0000, 0.5000], [0.7692, 0.5383, 0.1106], [0.6995, 0.3990, 0.3783], [0.0781, 0.1561, 0.2797], [0.0285, 0.7003, 0.9399], [0.6717, 0.7003, 0.9399], [0.1799, 0.7430, 0.4064], [0.5631, 0.7430, 0.4064], [0.5582, 0.1164, 0.7886], [0.4418, 0.8836, 0.2114], [0.8201, 0.2570, 0.5936], [0.4369, 0.2570, 0.5936], [0.9715, 0.2997, 0.0601], [0.3283, 0.2997, 0.0601], [0.9219, 0.8439, 0.7203], [0.6729, 0.0000, 0.0000], [0.3271, 0.0000, 0.0000]], "e_above_lowest_polymorph_ev_per_fu": 0.79, "volume_a3_per_atom": 33.4, "e_form_mev_per_atom": 146.7}

4.
{"formula": "Tb4Y5Th2", "functional": "GGA-PBE", "state": "relaxed", "lattice_angstrom": [[-2.9475, 0.7148, -1.5984], [2.7429, -4.9796, -7.2848], [-5.0097, -7.9065, 9.3790]], "species": ["Tb", "Tb", "Tb", "Tb", "Y", "Y", "Y", "Y", "Y", "Th", "Th"], "frac_coords": [[0.0000, 0.3166, 0.0000], [0.7610, 0.7610, 0.5220], [0.0000, 0.6834, 0.0000], [0.2390, 0.2390, 0.4780], [0.8428, 0.1644, 0.6857], [0.8428, 0.5213, 0.6857], [0.1572, 0.4787, 0.3143], [0.1572, 0.8356, 0.3143], [0.5000, 0.0000, 0.0000], [0.8922, 0.8922, 0.7844], [0.1078, 0.1078, 0.2156]], "e_above_lowest_polymorph_ev_per_fu": 5.03, "volume_a3_per_atom": 35.4, "e_form_mev_per_atom": 510.7}

5.
{"formula": "Tb6Y2Th", "functional": "GGA-PBE", "state": "relaxed", "lattice_angstrom": [[-3.4449, 0.8112, 0.5544], [1.0295, -1.3953, -3.1346], [-4.2023, -24.2923, 9.4333]], "species": ["Tb", "Tb", "Tb", "Tb", "Tb", "Tb", "Y", "Y", "Th"], "frac_coords": [[0.6667, 0.3333, 0.8901], [0.3333, 0.6667, 0.4346], [0.3333, 0.6667, 0.7813], [0.3333, 0.6667, 0.2187], [0.3333, 0.6667, 0.5654], [0.6667, 0.3333, 0.1099], [0.6667, 0.3333, 0.3283], [0.6667, 0.3333, 0.6717], [0.3333, 0.6667, 0.0000]], "volume_a3_per_atom": 32.6, "e_form_mev_per_atom": 59.7}

6.
{"formula": "Tb2YTh", "functional": "GGA-PBE", "state": "relaxed", "lattice_angstrom": [[-1.5181, -2.9060, -1.4851], [1.6491, -1.7080, -2.7052], [5.4947, -8.2491, 6.1635]], "species": ["Tb", "Tb", "Y", "Th"], "frac_coords": [[0.0819, 0.0819, 0.7544], [0.2513, 0.2513, 0.2460], [0.5005, 0.5005, 0.4985], [0.6663, 0.6663, 0.0011]], "e_above_lowest_polymorph_ev_per_fu": 0.00, "volume_a3_per_atom": 32.2, "e_form_mev_per_atom": 5.4}

7.
{"formula": "Tb4YTh2", "functional": "GGA-PBE", "state": "relaxed", "lattice_angstrom": [[3.5847, 0.0000, 0.0000], [1.7923, 3.1044, 0.0000], [1.7923, 1.0348, 20.2252]], "species": ["Tb", "Tb", "Tb", "Tb", "Y", "Th", "Th"], "frac_coords": [[0.1419, 0.1419, 0.5743], [0.2849, 0.2849, 0.1453], [0.7151, 0.7151, 0.8547], [0.8581, 0.8581, 0.4257], [0.0000, 0.0000, 0.0000], [0.4288, 0.4288, 0.7137], [0.5712, 0.5712, 0.2863]], "e_above_lowest_polymorph_ev_per_fu": 0.00, "volume_a3_per_atom": 32.2, "e_form_mev_per_atom": 21.9}

8.
{"formula": "Tb5Y4Th2", "functional": "GGA-PBE", "state": "relaxed", "lattice_angstrom": [[3.4197, 0.0000, 0.0000], [0.0000, 9.2109, 0.0000], [-1.7099, -4.6055, 12.3018]], "species": ["Tb", "Tb", "Tb", "Tb", "Tb", "Y", "Y", "Y", "Y", "Th", "Th"], "frac_coords": [[0.8445, 0.1666, 0.6891], [0.8445, 0.5225, 0.6891], [0.1555, 0.4775, 0.3109], [0.1555, 0.8334, 0.3109], [0.5000, 0.0000, 0.0000], [0.0000, 0.3166, 0.0000], [0.7600, 0.7600, 0.5200], [0.0000, 0.6834, 0.0000], [0.2400, 0.2400, 0.4800], [0.8927, 0.8927, 0.7854], [0.1073, 0.1073, 0.2146]], "e_above_lowest_polymorph_ev_per_fu": 4.01, "volume_a3_per_atom": 35.2, "e_form_mev_per_atom": 499.1}

9.
{"formula": "TbY2Th2", "functional": "GGA-PBE", "state": "relaxed", "lattice_angstrom": [[-2.7170, 0.1303, -2.2275], [-3.3612, -2.6259, 3.9503], [0.9529, 8.3731, 2.1000]], "species": ["Tb", "Y", "Y", "Th", "Th"], "frac_coords": [[0.0000, 0.0000, 0.0000], [0.6014, 0.6014, 0.2028], [0.3986, 0.3986, 0.7972], [0.2872, 0.7872, 0.5744], [0.7128, 0.2128, 0.4256]], "e_above_lowest_polymorph_ev_per_fu": 0.00, "volume_a3_per_atom": 32.7, "e_form_mev_per_atom": 70.6}

10.
{"formula": "Tb5Y3Th", "functional": "GGA-PBE", "state": "relaxed", "lattice_angstrom": [[8.9354, 0.0000, 0.0000], [0.0000, 8.9354, 0.0000], [-4.4677, -4.4677, 7.3964]], "species": ["Tb", "Tb", "Tb", "Tb", "Tb", "Tb", "Tb", "Tb", "Tb", "Tb", "Y", "Y", "Y", "Y", "Y", "Y", "Th", "Th"], "frac_coords": [[0.0719, 0.5719, 0.7300], [0.6582, 0.1582, 0.7300], [0.1582, 0.0719, 0.7300], [0.5719, 0.6582, 0.7300], [0.9281, 0.4281, 0.2700], [0.3418, 0.8418, 0.2700], [0.8418, 0.9281, 0.2700], [0.4281, 0.3418, 0.2700], [0.5000, 0.5000, 0.0000], [0.0000, 0.0000, 0.0000], [0.6134, 0.1134, 0.0000], [0.3866, 0.8866, 0.0000], [0.8866, 0.6134, 0.0000], [0.1134, 0.3866, 0.0000], [0.2500, 0.2500, 0.5000], [0.7500, 0.7500, 0.5000], [0.7500, 0.2500, 0.5000], [0.2500, 0.7500, 0.5000]], "volume_a3_per_atom": 32.8, "e_form_mev_per_atom": 329.4}

11.
{"formula": "Tb5Y2Th", "functional": "GGA-PBE", "state": "relaxed", "lattice_angstrom": [[6.4614, 0.0091, 1.5924], [-3.2281, 8.2338, -0.8016], [3.2256, 0.0124, 10.5736]], "species": ["Tb", "Tb", "Tb", "Tb", "Tb", "Tb", "Tb", "Tb", "Tb", "Tb", "Y", "Y", "Y", "Y", "Th", "Th"], "frac_coords": [[0.8794, 0.9914, 0.9121], [0.1119, 0.9925, 0.5886], [0.3927, 0.7417, 0.3947], [0.3476, 0.7416, 0.1056], [0.5897, 0.1775, 0.2501], [0.4103, 0.8225, 0.7499], [0.6073, 0.2583, 0.6053], [0.6524, 0.2584, 0.8944], [0.1206, 0.0086, 0.0879], [0.8881, 0.0075, 0.4114], [0.8083, 0.6078, 0.4177], [0.7999, 0.6089, 0.0820], [0.1917, 0.3922, 0.5823], [0.2001, 0.3911, 0.9180], [0.8123, 0.6268, 0.7502], [0.1877, 0.3732, 0.2498]], "e_above_lowest_polymorph_ev_per_fu": 1.13, "volume_a3_per_atom": 32.5, "e_form_mev_per_atom": 168.7}

12.
{"formula": "Tb12Y2Th5", "functional": "GGA-PBE", "state": "relaxed", "lattice_angstrom": [[-5.4761, -3.7873, 2.5809], [6.7691, -5.4651, -3.5358], [7.2182, -5.2159, 7.6616]], "species": ["Tb", "Tb", "Tb", "Tb", "Tb", "Tb", "Tb", "Tb", "Tb", "Tb", "Tb", "Tb", "Y", "Y", "Th", "Th", "Th", "Th", "Th"], "frac_coords": [[0.8976, 0.7952, 0.3043], [0.1420, 0.7912, 0.8035], [0.6492, 0.7912, 0.8035], [0.0413, 0.5940, 0.6048], [0.5527, 0.5940, 0.6048], [0.6013, 0.2027, 0.6997], [0.3987, 0.7973, 0.3003], [0.9587, 0.4060, 0.3952], [0.4473, 0.4060, 0.3952], [0.8580, 0.2088, 0.1965], [0.3508, 0.2088, 0.1965], [0.1024, 0.2047, 0.6957], [0.7486, 0.0000, 0.0000], [0.2514, 0.0000, 0.0000], [0.1995, 0.3989, 0.9016], [0.3013, 0.6025, 0.0984], [0.0000, 0.0000, 0.5000], [0.6987, 0.3975, 0.9016], [0.8005, 0.6011, 0.0984]], "volume_a3_per_atom": 33.4, "e_form_mev_per_atom": 125.5}

13.
{"formula": "TbY6Th12", "functional": "GGA-PBE", "state": "relaxed", "lattice_angstrom": [[0.7027, -0.3062, -8.7160], [-0.9822, -8.5303, 1.6807], [-8.3288, 2.5885, 0.6978]], "species": ["Tb", "Y", "Y", "Y", "Y", "Y", "Y", "Th", "Th", "Th", "Th", "Th", "Th", "Th", "Th", "Th", "Th", "Th", "Th"], "frac_coords": [[0.0000, 0.0000, 0.0000], [0.9001, 0.3388, 0.9001], [0.9001, 0.9001, 0.3388], [0.3388, 0.9001, 0.9001], [0.0999, 0.0999, 0.6612], [0.0999, 0.6612, 0.0999], [0.6612, 0.0999, 0.0999], [0.7522, 0.2478, 0.5000], [0.3497, 0.0822, 0.3497], [0.3497, 0.3497, 0.0822], [0.9178, 0.6503, 0.6503], [0.6503, 0.6503, 0.9178], [0.6503, 0.9178, 0.6503], [0.5000, 0.7522, 0.2478], [0.2478, 0.5000, 0.7522], [0.2478, 0.7522, 0.5000], [0.5000, 0.2478, 0.7522], [0.7522, 0.5000, 0.2478], [0.0822, 0.3497, 0.3497]], "volume_a3_per_atom": 33.6, "e_form_mev_per_atom": 249.0}

14.
{"formula": "Tb2Y5Th5", "functional": "GGA-PBE", "state": "relaxed", "lattice_angstrom": [[0.7835, 3.4600, 3.6069], [5.5474, -2.7762, 5.0063], [9.3561, 4.4918, -2.7931]], "species": ["Tb", "Tb", "Y", "Y", "Y", "Y", "Y", "Th", "Th", "Th", "Th", "Th"], "frac_coords": [[0.9163, 0.4178, 0.7496], [0.0837, 0.5822, 0.2504], [0.5000, 0.5000, 0.5000], [0.3323, 0.3316, 0.0038], [0.4157, 0.9203, 0.2483], [0.5843, 0.0797, 0.7517], [0.6677, 0.6684, 0.9962], [0.8301, 0.8370, 0.5029], [0.2500, 0.7542, 0.7459], [0.7500, 0.2458, 0.2541], [0.1699, 0.1630, 0.4971], [0.0000, 0.0000, 0.0000]], "volume_a3_per_atom": 32.3, "e_form_mev_per_atom": 49.2}

15.
{"formula": "TbYTh", "functional": "GGA-PBE", "state": "relaxed", "lattice_angstrom": [[4.9108, 0.0000, 0.0000], [0.0000, 4.9108, 0.0000], [0.0000, 0.0000, 8.5211]], "species": ["Tb", "Tb", "Th", "Th", "Y", "Y"], "frac_coords": [[0.0000, 0.5000, 0.7157], [0.5000, 0.0000, 0.2843], [0.5000, 0.5000, 0.0000], [0.0000, 0.0000, 0.0000], [0.5000, 0.0000, 0.6986], [0.0000, 0.5000, 0.3014]], "e_above_lowest_polymorph_ev_per_fu": 0.54, "volume_a3_per_atom": 34.2, "e_form_mev_per_atom": 202.4}

16.
{"formula": "Tb2Y2Th", "functional": "GGA-PBE", "state": "relaxed", "lattice_angstrom": [[7.9898, 0.0000, 3.5590], [3.9949, 4.8270, 1.7795], [0.8785, 0.0000, 9.0023]], "species": ["Tb", "Tb", "Tb", "Tb", "Y", "Y", "Y", "Y", "Th", "Th"], "frac_coords": [[0.6705, 0.3504, 0.7065], [0.3295, 0.6496, 0.2935], [0.0209, 0.6496, 0.7065], [0.9791, 0.3504, 0.2935], [0.7436, 0.0000, 0.4147], [0.5887, 0.0000, 0.1280], [0.4113, 0.0000, 0.8720], [0.2564, 0.0000, 0.5853], [0.1651, 0.6699, 0.0000], [0.8349, 0.3301, 0.0000]], "e_above_lowest_polymorph_ev_per_fu": 0.41, "volume_a3_per_atom": 33.2, "e_form_mev_per_atom": 148.3}

17.
{"formula": "Tb5Y4Th4", "functional": "GGA-PBE", "state": "relaxed", "lattice_angstrom": [[-2.7893, -1.9121, 3.7554], [1.2207, -9.3646, -0.4610], [5.7387, -0.3034, 7.5082]], "species": ["Tb", "Tb", "Tb", "Tb", "Tb", "Y", "Y", "Y", "Y", "Th", "Th", "Th", "Th"], "frac_coords": [[0.6950, 0.8430, 0.7670], [0.3050, 0.1570, 0.2330], [0.0000, 0.0000, 0.0000], [0.5380, 0.7670, 0.1570], [0.4620, 0.2330, 0.8430], [0.7672, 0.3855, 0.0800], [0.2328, 0.6145, 0.9200], [0.8472, 0.9200, 0.3855], [0.1528, 0.0800, 0.6145], [0.9255, 0.4609, 0.6881], [0.6136, 0.3119, 0.4609], [0.0745, 0.5391, 0.3119], [0.3864, 0.6881, 0.5391]], "volume_a3_per_atom": 32.3, "e_form_mev_per_atom": 34.1}

18.
{"formula": "Tb6Y5Th2", "functional": "GGA-PBE", "state": "relaxed", "lattice_angstrom": [[3.5745, 0.0000, 0.0000], [0.0000, 11.5013, 0.0000], [0.0000, 0.0000, 20.8019]], "species": ["Tb", "Tb", "Tb", "Tb", "Tb", "Tb", "Tb", "Tb", "Tb", "Tb", "Tb", "Tb", "Y", "Y", "Y", "Y", "Y", "Y", "Y", "Y", "Y", "Y", "Th", "Th", "Th", "Th"], "frac_coords": [[0.0000, 0.0643, 0.3526], [0.0000, 0.9357, 0.6474], [0.0000, 0.5643, 0.1474], [0.0000, 0.4357, 0.8526], [0.5000, 0.3162, 0.1236], [0.5000, 0.6838, 0.8764], [0.5000, 0.8162, 0.3764], [0.5000, 0.1838, 0.6236], [0.0000, 0.5815, 0.4381], [0.0000, 0.4185, 0.5619], [0.0000, 0.0815, 0.0619], [0.0000, 0.9185, 0.9381], [0.5000, 0.3117, 0.4207], [0.5000, 0.6883, 0.5793], [0.5000, 0.8117, 0.0793], [0.5000, 0.1883, 0.9207], [0.5000, 0.5669, 0.2936], [0.5000, 0.4331, 0.7064], [0.5000, 0.0669, 0.2064], [0.5000, 0.9331, 0.7936], [0.5000, 0.5000, 0.0000], [0.5000, 0.0000, 0.5000], [0.0000, 0.3110, 0.2653], [0.0000, 0.6890, 0.7347], [0.0000, 0.8110, 0.2347], [0.0000, 0.1890, 0.7653]], "volume_a3_per_atom": 32.9, "e_form_mev_per_atom": 108.2}

19.
{"formula": "Tb3Y2Th", "functional": "GGA-PBE", "state": "relaxed", "lattice_angstrom": [[-3.1809, -8.2980, 6.8087], [4.9862, -6.1590, 4.0273], [2.5208, -1.6577, 8.3613]], "species": ["Tb", "Tb", "Tb", "Tb", "Tb", "Tb", "Y", "Y", "Y", "Y", "Th", "Th"], "frac_coords": [[0.5000, 0.2500, 0.7500], [0.5000, 0.7500, 0.2500], [0.2333, 0.0167, 0.5167], [0.7667, 0.4833, 0.9833], [0.7667, 0.9833, 0.4833], [0.2333, 0.5167, 0.0167], [0.9183, 0.3237, 0.3237], [0.5657, 0.1763, 0.1763], [0.4343, 0.8237, 0.8237], [0.0817, 0.6763, 0.6763], [0.0000, 0.5000, 0.5000], [0.0000, 0.0000, 0.0000]], "e_above_lowest_polymorph_ev_per_fu": 2.16, "volume_a3_per_atom": 37.8, "e_form_mev_per_atom": 609.9}

20.
{"formula": "Tb6Y3Th2", "functional": "GGA-PBE", "state": "relaxed", "lattice_angstrom": [[3.5753, 0.0000, 0.0000], [1.7876, 3.0963, 0.0000], [1.7876, 1.0321, 31.9176]], "species": ["Tb", "Tb", "Tb", "Tb", "Tb", "Tb", "Y", "Y", "Y", "Th", "Th"], "frac_coords": [[0.0915, 0.0915, 0.7254], [0.9085, 0.9085, 0.2746], [0.1825, 0.1825, 0.4525], [0.8175, 0.8175, 0.5475], [0.3637, 0.3637, 0.9090], [0.6363, 0.6363, 0.0910], [0.0000, 0.0000, 0.0000], [0.2728, 0.2728, 0.1816], [0.7272, 0.7272, 0.8184], [0.4546, 0.4546, 0.6361], [0.5454, 0.5454, 0.3639]], "volume_a3_per_atom": 32.1, "e_form_mev_per_atom": 20.2}